[1]
A plane-wave DFT calculation with PBE was carried out for a relaxed La4Sn2Bi crystal.

ΔH_f (0 K) = -0.24 eV per atom

CIF file:
```
data_La4Sn2Bi
_chemical_formula_sum 'La8 Sn4 Bi2'
_symmetry_space_group_name_H-M 'I 4/m m m'
_symmetry_Int_Tables_number 139
_symmetry_space_group_name_Hall '-I 4 2'
_cell_length_a 5.908
_cell_length_b 5.908
_cell_length_c 16.914
_cell_angle_alpha 90.00
_cell_angle_beta 90.00
_cell_angle_gamma 90.00
loop_
_atom_site_label
_atom_site_type_symbol
_atom_site_fract_x
_atom_site_fract_y
_atom_site_fract_z
La1 La 0.000 0.000 0.188
La2 La 0.000 0.500 0.000
Sn1 Sn 0.000 0.000 0.377
Bi1 Bi 0.000 0.000 0.000
```

[2]
A plane-wave DFT calculation with PBE was carried out for a relaxed Dy4CdPd2Pt crystal.

ΔH_f (0 K) = -0.83 eV per atom

CIF file:
```
data_Dy4CdPd2Pt
_chemical_formula_sum 'Dy12 Cd3 Pd6 Pt3'
_symmetry_space_group_name_H-M 'R -3 m'
_symmetry_Int_Tables_number 166
_symmetry_space_group_name_Hall '-R 3 2"'
_cell_length_a 5.0388
_cell_length_b 5.0388
_cell_length_c 24.6301
_cell_angle_alpha 90.00
_cell_angle_beta 90.00
_cell_angle_gamma 120.00
loop_
_atom_site_label
_atom_site_type_symbol
_atom_site_fract_x
_atom_site_fract_y
_atom_site_fract_z
Dy1 Dy 0.0000 0.0000 0.1185
Dy2 Dy 0.0000 0.0000 0.3695
Cd1 Cd 0.0000 0.0000 0.5000
Pd1 Pd 0.0000 0.0000 0.2416
Pt1 Pt 0.0000 0.0000 0.0000
```

[3]
A plane-wave DFT calculation with PBE was carried out for a relaxed CaAl3CuPd crystal.

ΔH_f (0 K) = -0.34 eV per atom

CIF file:
```
data_CaAl3CuPd
_chemical_formula_sum 'Ca4 Al12 Cu4 Pd4'
_symmetry_space_group_name_H-M 'C m c m'
_symmetry_Int_Tables_number 63
_symmetry_space_group_name_Hall '-C 2c 2'
_cell_length_a 6.319
_cell_length_b 12.617
_cell_length_c 5.663
_cell_angle_alpha 90.00
_cell_angle_beta 90.00
_cell_angle_gamma 90.00
loop_
_atom_site_label
_atom_site_type_symbol
_atom_site_fract_x
_atom_site_fract_y
_atom_site_fract_z
Ca1 Ca 0.000 0.213 0.250
Al1 Al 0.000 0.358 0.750
Al2 Al 0.204 0.000 0.000
Cu1 Cu 0.000 0.144 0.750
Pd1 Pd 0.000 0.428 0.250
```

[4]
A plane-wave DFT calculation with PBE was carried out for a relaxed AcPmErTe3 crystal.

energy relative to the elements, uncorrected = -1.273 eV/atom

CIF file:
```
data_AcPmErTe3
_chemical_formula_sum 'Ac2 Pm2 Er2 Te6'
_symmetry_space_group_name_H-M 'P 1 21/m 1'
_symmetry_Int_Tables_number 11
_cell_length_a 8.724
_cell_length_b 4.583
_cell_length_c 10.694
_cell_angle_alpha 90.00
_cell_angle_beta 110.42
_cell_angle_gamma 90.00
loop_
_symmetry_equiv_pos_as_xyz
'x,y,z'
'-x,-y,-z'
'-x,y+1/2,-z'
'x,-y+1/2,z'
loop_
_atom_site_label
_atom_site_type_symbol
_atom_site_fract_x
_atom_site_fract_y
_atom_site_fract_z
Ac1 Ac 0.185 0.250 0.232
Pm1 Pm 0.357 0.750 0.882
Er1 Er 0.140 0.250 0.620
Te1 Te 0.109 0.250 0.897
Te2 Te 0.239 0.750 0.482
Te3 Te 0.461 0.750 0.207
```

[5]
A plane-wave DFT calculation with PBE was carried out for a relaxed CrNiAuN2 crystal.

energy relative to the elements, uncorrected = 2.623 eV/atom

CIF file:
```
data_CrNiAuN2
_chemical_formula_sum 'Cr1 Ni1 Au1 N2'
_symmetry_space_group_name_H-M 'P 4/m m m'
_symmetry_Int_Tables_number 123
_symmetry_space_group_name_Hall '-P 4 2'
_cell_length_a 3.844
_cell_length_b 3.844
_cell_length_c 5.138
_cell_angle_alpha 90.00
_cell_angle_beta 90.00
_cell_angle_gamma 90.00
loop_
_atom_site_label
_atom_site_type_symbol
_atom_site_fract_x
_atom_site_fract_y
_atom_site_fract_z
Cr1 Cr 0.000 0.000 0.000
Ni1 Ni 0.500 0.500 0.000
Au1 Au 0.000 0.000 0.500
N1 N 0.000 0.500 0.500
```

[6]
A plane-wave DFT calculation with PBE was carried out for a relaxed RhC2 crystal.

energy above the most stable polymorph in this dataset = 113 meV per atom
ΔH_f (0 K) = 0.57 eV per atom

CIF file:
```
data_RhC2
_chemical_formula_sum 'Rh1 C2'
_symmetry_space_group_name_H-M 'P 6/m m m'
_symmetry_Int_Tables_number 191
_symmetry_space_group_name_Hall '-P 6 2'
_cell_length_a 2.5071
_cell_length_b 2.5071
_cell_length_c 8.7174
_cell_angle_alpha 90.00
_cell_angle_beta 90.00
_cell_angle_gamma 120.00
loop_
_atom_site_label
_atom_site_type_symbol
_atom_site_fract_x
_atom_site_fract_y
_atom_site_fract_z
Rh1 Rh 0.0000 0.0000 0.0000
C1 C 0.3333 0.6667 0.5000
```

[7]
A plane-wave DFT calculation with PBE was carried out for a relaxed NbH2Pb crystal.

energy above the most stable polymorph in this dataset = 0 meV per atom

CIF file:
```
data_NbH2Pb
_chemical_formula_sum 'Nb4 H8 Pb4'
_symmetry_space_group_name_H-M 'I -4 2 d'
_symmetry_Int_Tables_number 122
_symmetry_space_group_name_Hall 'I -4 2bw'
_cell_length_a 6.001
_cell_length_b 6.001
_cell_length_c 5.924
_cell_angle_alpha 90.00
_cell_angle_beta 90.00
_cell_angle_gamma 90.00
loop_
_atom_site_label
_atom_site_type_symbol
_atom_site_fract_x
_atom_site_fract_y
_atom_site_fract_z
Nb1 Nb 0.000 0.000 0.000
H1 H 0.145 0.750 0.125
Pb1 Pb 0.000 0.000 0.500
```

[8]
A plane-wave DFT calculation with PBE was carried out for a relaxed Hf4FeGe2 crystal.

ΔH_f (0 K) = 0.00 eV per atom

CIF file:
```
data_Hf4FeGe2
_chemical_formula_sum 'Hf8 Fe2 Ge4'
_symmetry_space_group_name_H-M 'I 4/m m m'
_symmetry_Int_Tables_number 139
_symmetry_space_group_name_Hall '-I 4 2'
_cell_length_a 4.553
_cell_length_b 4.553
_cell_length_c 14.331
_cell_angle_alpha 90.00
_cell_angle_beta 90.00
_cell_angle_gamma 90.00
loop_
_atom_site_label
_atom_site_type_symbol
_atom_site_fract_x
_atom_site_fract_y
_atom_site_fract_z
Hf1 Hf 0.000 0.000 0.174
Hf2 Hf 0.000 0.500 0.000
Fe1 Fe 0.000 0.000 0.000
Ge1 Ge 0.000 0.000 0.363
```

no.,ρ (g/cm³)
1,5.6
2,10.8
3,4.3
4,7.6
5,7.3
6,4.4
7,9.4
8,10.2